[1]
Entry from the Alexandria database: a geometry-optimized CsNbSbH2 structure (PBE).

The crystal system is monoclinic.

It has space group Cm (No. 8), with a = 5.7347 Å, b = 3.6610 Å, c = 9.1627 Å, α = 90.00°, β = 103.04° and γ = 90.00°. The asymmetric unit holds Cs at (0.0000, 0.0000, 0.0000), Nb at (0.2765, 0.5000, 0.3991), Sb at (0.0026, 0.5000, 0.6342), H at (0.2108, 0.5000, 0.1932) and H at (0.4095, 0.0000, 0.3210).

---

[2]
Entry from the Alexandria database: a geometry-optimized CsNbSbH2 structure (PBE).

The crystal system is monoclinic.

It has space group Cm (No. 8), with a = 15.1627 Å, b = 3.9197 Å, c = 3.4555 Å, α = 90.00°, β = 90.73° and γ = 90.00°. The asymmetric unit holds Cs at (0.0000, 0.0000, 0.0000), Nb at (0.2798, 0.0000, 0.0195), Sb at (0.1953, 0.5000, 0.5147), H at (0.1654, 0.0000, 0.0148) and H at (0.3564, 0.0000, 0.5222).

---

[3]
Entry from the Alexandria database: a geometry-optimized CsNbSbH2 structure (PBE).

The crystal system is orthorhombic.

It has space group Imm2 (No. 44), with a = 3.5500 Å, b = 3.8876 Å, c = 14.8394 Å, α = 90.00°, β = 90.00° and γ = 90.00°. The asymmetric unit holds Cs at (0.0000, 0.0000, 0.0000), Nb at (0.0000, 0.0000, 0.2890), Sb at (0.0000, 0.0000, 0.7059), H at (0.0000, 0.0000, 0.4119) and H at (0.0000, 0.5000, 0.8431).

---

[4]
Entry from the Alexandria database: a geometry-optimized CsNbSbH2 structure (PBE).

The crystal system is monoclinic.

It has space group Cm (No. 8), with a = 9.8290 Å, b = 3.5910 Å, c = 6.7728 Å, α = 90.00°, β = 94.49° and γ = 90.00°. The asymmetric unit holds Cs at (0.0000, 0.0000, 0.0000), Nb at (0.1934, 0.5000, 0.5485), Sb at (0.4052, 0.0000, 0.4985), H at (0.1255, 0.0000, 0.5920) and H at (0.1995, 0.5000, 0.8177).

---

[5]
Entry from the Alexandria database: a geometry-optimized CsNbSbH2 structure (PBE).

The crystal system is monoclinic.

It has space group Cm (No. 8), with a = 9.7910 Å, b = 3.5634 Å, c = 7.3300 Å, α = 90.00°, β = 111.70° and γ = 90.00°. The asymmetric unit holds Cs at (0.0000, 0.0000, 0.0000), Nb at (0.1605, 0.0000, 0.5596), Sb at (0.4271, 0.0000, 0.4975), H at (0.2393, 0.0000, 0.8265) and H at (0.2440, 0.5000, 0.6117).

---

[6]
Entry from the Alexandria database: a geometry-optimized CsNbSbH2 structure (PBE).

The crystal system is orthorhombic.

It has space group Amm2 (No. 38), with a = 6.5216 Å, b = 4.6396 Å, c = 8.4949 Å, α = 90.00°, β = 90.00° and γ = 90.00°. The asymmetric unit holds Cs at (0.0000, 0.0000, 0.0000), Nb at (0.5000, 0.0000, 0.2923), Sb at (0.5000, 0.0000, 0.6285) and H at (0.2397, 0.0000, 0.3710).

---

Number 1: D(E_F) 1.7 states/eV/cell, energy relative to the lowest polymorph listed for this composition 0.171 eV per atom, E_tot -43.180 eV per cell. Number 2: D(E_F) 2.5 states/eV/cell, energy relative to the lowest polymorph listed for this composition 0.183 eV per atom, E_tot -43.054 eV per cell. Number 3: D(E_F) 1.6 states/eV/cell, energy relative to the lowest polymorph listed for this composition 0.024 eV per atom, E_tot -44.645 eV per cell. Number 4: D(E_F) 1.9 states/eV/cell, energy relative to the lowest polymorph listed for this composition 0.103 eV per atom, E_tot -43.859 eV per cell. Number 5: D(E_F) 3.0 states/eV/cell, energy relative to the lowest polymorph listed for this composition 0.115 eV per atom, E_tot -43.736 eV per cell. Number 6: D(E_F) 5.2 states/eV/cell, energy relative to the lowest polymorph listed for this composition 0.176 eV per atom, E_tot -43.130 eV per cell.